## KCrRe2P (PBE)

Data for a relaxed structure of KCrRe2P.

Summary:
M_tot, μB per atom: 0.00
Formation energy, eV per atom: 1.978
Space-group type: P4/mmm

Lattice parameters (Å, degrees): 4.4626 5.2145 4.4626 90.00 90.00 90.00
Positions (direct):
Re (0.0000, 0.0000, 0.5000)
Re (0.5000, 0.0000, 0.0000)
K (0.0000, 0.5000, 0.0000)
P (0.5000, 0.5000, 0.5000)
Cr (0.0000, 0.0000, 0.0000)

***

## Be2VPt3 (PBE)

Data for a relaxed structure of Be2VPt3.

Summary:
M_tot, μB per atom: 0.00
Formation energy, eV per atom: -0.716
Space-group type: P4/mmm

Lattice parameters (Å, degrees): 2.7716 2.7716 9.7349 90.00 90.00 90.00
Positions (direct):
Be (0.5000, 0.5000, 0.8478)
Be (0.5000, 0.5000, 0.1522)
V (0.5000, 0.5000, 0.5000)
Pt (0.0000, 0.0000, 0.0000)
Pt (0.0000, 0.0000, 0.6978)
Pt (0.0000, 0.0000, 0.3022)

***

## Sc4TeO (PBE)

Data for a relaxed structure of Sc4TeO.

Summary:
M_tot, μB per atom: 0.00
Space-group type: C2/m
Formation energy from raw total energies, eV/atom: -1.285

Lattice parameters (Å, degrees): 4.3118 5.7143 11.9768 109.80 90.00 112.17
Positions (direct):
Sc (0.1171, 0.2342, 0.4565)
Sc (0.0863, 0.1725, 0.8290)
Sc (0.6617, 0.3235, 0.2722)
Sc (0.6020, 0.2040, 0.6413)
Sc (0.3980, 0.7960, 0.3587)
Sc (0.3383, 0.6765, 0.7278)
Sc (0.9137, 0.8275, 0.1710)
Sc (0.8829, 0.7658, 0.5435)
Te (0.1809, 0.3619, 0.1060)
Te (0.8191, 0.6381, 0.8940)
O (0.1135, 0.2270, 0.6468)
O (0.8865, 0.7730, 0.3532)

***

## LaMn3Cd (PBE)

Data for a relaxed structure of LaMn3Cd.

Summary:
M_tot, μB per atom: 2.39
Formation energy, eV per atom: 0.854
Space-group type: Pm-3m

Lattice parameters (Å, degrees): 5.0293 5.0293 5.0293 90.00 90.00 90.00
Each line ends with the local moment (μB).
Positions (direct):
Cd (0.0000, 0.0000, 0.0000)  0.00
Mn (0.0000, 0.5000, 0.0000)  4.00
Mn (0.0000, 0.0000, 0.5000)  4.01
Mn (0.5000, 0.0000, 0.0000)  3.75
La (0.5000, 0.5000, 0.5000)  -0.20

***

## PmSb2PtRh5 (PBE)

Data for a relaxed structure of PmSb2PtRh5.

Summary:
M_tot, μB per atom: 0.00
Space-group type: P4/mmm
Formation energy from raw total energies, eV/atom: -0.083

Lattice parameters (Å, degrees): 4.0567 4.0567 10.1885 90.00 90.00 90.00
Positions (direct):
Pm (0.0000, 0.0000, 0.5000)
Sb (0.5000, 0.5000, 0.1350)
Sb (0.5000, 0.5000, 0.8650)
Pt (0.0000, 0.0000, 0.0000)
Rh (0.0000, 0.5000, 0.2919)
Rh (0.5000, 0.0000, 0.2919)
Rh (0.0000, 0.5000, 0.7081)
Rh (0.5000, 0.0000, 0.7081)
Rh (0.5000, 0.5000, 0.5000)

***

## Cd2Pt2O7 (PBE)

Data for a relaxed structure of Cd2Pt2O7.

Summary:
M_tot, μB per atom: 0.00
Space-group type: Fd-3m
Formation energy from raw total energies, eV/atom: -0.699

Lattice parameters (Å, degrees): 7.2624 7.2624 7.2624 60.00 60.00 60.00
Positions (direct):
Cd (0.6250, 0.6250, 0.6250)
Cd (0.6250, 0.6250, 0.1250)
Cd (0.6250, 0.1250, 0.6250)
Cd (0.1250, 0.6250, 0.6250)
Pt (0.6250, 0.1250, 0.1250)
Pt (0.1250, 0.6250, 0.1250)
Pt (0.1250, 0.1250, 0.6250)
Pt (0.1250, 0.1250, 0.1250)
O (0.2056, 0.2056, 0.7944)
O (0.2056, 0.7944, 0.2056)
O (0.4556, 0.0444, 0.4556)
O (0.4556, 0.4556, 0.0444)
O (0.7500, 0.7500, 0.7500)
O (0.7944, 0.2056, 0.2056)
O (0.4556, 0.0444, 0.0444)
O (0.0444, 0.4556, 0.4556)
O (0.0444, 0.0444, 0.4556)
O (0.0444, 0.4556, 0.0444)
O (0.2056, 0.7944, 0.7944)
O (0.5000, 0.5000, 0.5000)
O (0.7944, 0.2056, 0.7944)
O (0.7944, 0.7944, 0.2056)

***

## Dy4SnPb (PBE)

Data for a relaxed structure of Dy4SnPb.

Summary:
M_tot, μB per atom: 0.00
Formation energy, eV per atom: -0.406
Space-group type: C2/c

Lattice parameters (Å, degrees): 6.2804 8.5086 8.2930 113.87 103.41 106.62
Positions (direct):
Dy (0.0402, 0.2174, 0.8339)
Dy (0.7739, 0.7017, 0.6217)
Dy (0.2937, 0.6165, 0.8339)
Dy (0.3478, 0.9200, 0.6217)
Dy (0.6522, 0.0800, 0.3783)
Dy (0.7063, 0.3835, 0.1661)
Dy (0.2261, 0.2983, 0.3783)
Dy (0.9598, 0.7826, 0.1661)
Sn (0.2515, 0.0015, 0.0029)
Sn (0.7485, 0.9985, 0.9971)
Pb (0.3690, 0.6190, 0.2381)
Pb (0.6310, 0.3810, 0.7619)

***

## MgZn5Pd4 (PBE)

Data for a relaxed structure of MgZn5Pd4.

Summary:
M_tot, μB per atom: 0.00
Formation energy, eV per atom: -0.463
Space-group type: P4/mmm

Lattice parameters (Å, degrees): 3.1392 3.1392 15.1970 90.00 90.00 90.00
Positions (direct):
Mg (0.0000, 0.0000, 0.0000)
Zn (0.5000, 0.5000, 0.1123)
Zn (0.5000, 0.5000, 0.3048)
Zn (0.5000, 0.5000, 0.5000)
Zn (0.5000, 0.5000, 0.6952)
Zn (0.5000, 0.5000, 0.8877)
Pd (0.0000, 0.0000, 0.2059)
Pd (0.0000, 0.0000, 0.4026)
Pd (0.0000, 0.0000, 0.5974)
Pd (0.0000, 0.0000, 0.7941)

***

## NbCo4Ni15 (PBE)

Data for a relaxed structure of NbCo4Ni15.

Summary:
M_tot, μB per atom: 0.72
Formation energy, eV per atom: -0.030
Space-group type: P4/mmm

Lattice parameters (Å, degrees): 3.5706 3.5706 17.6246 90.00 90.00 90.00
Each line ends with the local moment (μB).
Positions (direct):
Nb (0.0000, 0.0000, 0.0000)  -0.02
Co (0.0000, 0.0000, 0.2077)  1.82
Co (0.0000, 0.0000, 0.4024)  1.71
Co (0.0000, 0.0000, 0.5976)  1.71
Co (0.0000, 0.0000, 0.7923)  1.82
Ni (0.5000, 0.5000, 0.0000)  0.04
Ni (0.5000, 0.5000, 0.2052)  0.59
Ni (0.5000, 0.5000, 0.4020)  0.72
Ni (0.5000, 0.5000, 0.5980)  0.72
Ni (0.5000, 0.5000, 0.7948)  0.59
Ni (0.5000, 0.0000, 0.1063)  0.25
Ni (0.5000, 0.0000, 0.3039)  0.72
Ni (0.5000, 0.0000, 0.5000)  0.72
Ni (0.5000, 0.0000, 0.6961)  0.72
Ni (0.5000, 0.0000, 0.8937)  0.25
Ni (0.0000, 0.5000, 0.1063)  0.25
Ni (0.0000, 0.5000, 0.3039)  0.72
Ni (0.0000, 0.5000, 0.5000)  0.72
Ni (0.0000, 0.5000, 0.6961)  0.72
Ni (0.0000, 0.5000, 0.8937)  0.25

***

## LaSbTeH (PBE)

Data for a relaxed structure of LaSbTeH.

Summary:
M_tot, μB per atom: 0.00
Distance to the lowest polymorph of the same formula, meV per atom: 74
Space-group type: Pm

Lattice parameters (Å, degrees): 5.1377 4.3004 5.1425 90.00 101.73 90.00
Positions (direct):
La (0.1400, 0.0000, 0.8779)
Sb (0.2315, 0.5000, 0.3826)
Te (0.6616, 0.5000, 0.9352)
H (0.9996, 0.5000, 0.6126)

***

## Re2As3 (PBE)

Data for a relaxed structure of Re2As3.

Summary:
M_tot, μB per atom: 0.00
Distance to the lowest polymorph of the same formula, meV per atom: 215
Formation energy, eV per atom: 0.220
Space-group type: R-3m

Lattice parameters (Å, degrees): 9.9965 9.9965 9.9965 18.03 18.03 18.03
Positions (direct):
Re (0.4014, 0.4014, 0.4014)
Re (0.5986, 0.5986, 0.5986)
As (0.0000, 0.0000, 0.0000)
As (0.7923, 0.7923, 0.7923)
As (0.2077, 0.2077, 0.2077)

***

## SmHoMgCo (PBE)

Data for a relaxed structure of SmHoMgCo.

Summary:
M_tot, μB per atom: 0.09
Distance to the lowest polymorph of the same formula, meV per atom: 124
Formation energy, eV per atom: 0.018
Space-group type: F-43m

Lattice parameters (Å, degrees): 5.0635 5.0635 5.0635 60.00 60.00 60.00
Each line ends with the local moment (μB).
Positions (direct):
Mg (0.7500, 0.7500, 0.7500)  0.00
Co (0.2500, 0.2500, 0.2500)  0.88
Ho (0.0000, 0.0000, 0.0000)  -0.19
Sm (0.5000, 0.5000, 0.5000)  -0.12